An optimized crystal structure of Cu4Tc3PbO12. Source: Alexandria via LeMat-Bulk, functional GGA-PBE.

Cell lengths 10.9858, 10.9858, 7.4694 Å; angles 90.00, 90.00, 120.00 degrees
Last column: nearest neighbours and their distance in Å.
Space group R32 (No. 155, hexagonal axes)
Inequivalent atoms, fractional coordinates:
Cu: 0.0000 0.0000 0.0000 (multiplicity 3)  3 O 1.91
Cu: 0.0000 0.4343 0.0000 (multiplicity 9)  3 O 1.88-1.91
Tc: 0.0000 0.5626 0.5000 (multiplicity 9)  6 O 1.88-2.00
Pb: 0.0000 0.0000 0.5000 (multiplicity 3)  6 O 2.66
O: 0.0000 0.6080 0.0000 (multiplicity 9)  1 Cu 1.91, 2 Tc 2.00
O: 0.0000 0.8263 0.0000 (multiplicity 9)  1 Cu 1.91, 2 Tc 1.98
O: 0.0646 0.2247 0.7007 (multiplicity 18)  1 Tc 1.88, 1 Cu 1.88

Total DFT energy (no corrections)   -392.4 eV per cell



An optimized crystal structure of PaBiPb. Source: Alexandria via LeMat-Bulk, functional GGA-PBE.

Cell lengths 5.2635, 5.2635, 26.3602 Å; angles 90.00, 90.00, 120.00 degrees
Last column: nearest neighbours and their distance in Å.
Space group R-3m (No. 166, hexagonal axes)
Inequivalent atoms, fractional coordinates:
Pa: 0.0000 0.0000 0.2396 (multiplicity 6)  4 Bi 3.10-3.21, 1 Pb 3.25
Bi: 0.0000 0.0000 0.1177 (multiplicity 6)  4 Pa 3.10-3.21
Pb: 0.0000 0.0000 0.3629 (multiplicity 6)  4 Pa 3.25-3.48, 3 Pb 3.42

Formation energy from the elements   0.66 eV/f.u.
Total DFT energy (no corrections)   -98.5 eV per cell